1.
Below is crystalline TaReBr at its relaxed geometry, with properties calculated at the GGA-PBE level.

a b c (Å): 6.266 6.266 6.266
angles (deg): 90.00 90.00 90.00
Atoms (fractional coordinates):
Ta1 0.000 0.000 0.000
Ta2 0.000 0.500 0.500
Ta3 0.500 0.000 0.500
Ta4 0.500 0.500 0.000
Re1 0.250 0.250 0.750
Re2 0.250 0.750 0.250
Re3 0.750 0.250 0.250
Re4 0.750 0.750 0.750
Br1 0.250 0.250 0.250
Br2 0.250 0.750 0.750
Br3 0.750 0.250 0.750
Br4 0.750 0.750 0.250

Results
As for the crystal system: cubic. Its space group is F-43m (216). The energy above the most stable polymorph in this dataset comes out at 1004 meV per atom. Its volume is 20.50 Å³/atom. The value obtained for the total moment is 0.000 μB/f.u.



2.
Below is crystalline LaTiSeO at its relaxed geometry, with properties calculated at the GGA-PBE level.

a b c (Å): 3.552 3.524 11.811
angles (deg): 90.00 90.00 90.00
Atoms (fractional coordinates):
La1 0.000 0.000 0.000
La2 0.000 0.500 0.500
Ti1 0.500 0.000 0.311
Ti2 0.500 0.500 0.811
Se1 0.000 0.000 0.736
Se2 0.000 0.500 0.236
O1 0.500 0.000 0.482
O2 0.500 0.500 0.982

Results
As for the crystal system: orthorhombic. Its space group is Amm2 (38). The energy above the most stable polymorph in this dataset comes out at 0 meV per atom. Its volume is 18.48 Å³/atom. The value obtained for the total moment is 0.000 μB/f.u.



3.
Below is crystalline La3BiIr at its relaxed geometry, with properties calculated at the GGA-PBE level.

a b c (Å): 8.378 8.378 11.553
angles (deg): 125.89 125.89 30.41
Atoms (fractional coordinates):
La1 0.000 0.000 0.000
La2 0.292 0.292 0.691
La3 0.367 0.367 0.091
La4 0.534 0.534 0.533
La5 0.636 0.636 0.911
La6 0.726 0.726 0.311
Bi1 0.070 0.070 0.344
Bi2 0.941 0.941 0.654
Ir1 0.217 0.217 0.135
Ir2 0.773 0.773 0.844

Results
As for the crystal system: monoclinic. Its space group is Cm (8). The energy above the most stable polymorph in this dataset comes out at 96 meV per atom. Its volume is 32.61 Å³/atom. The value obtained for the total moment is 0.000 μB/f.u. As for the energy of formation from the pure elements: -0.733 eV per atom.



4.
Below is crystalline Li2LaTb at its relaxed geometry, with properties calculated at the GGA-PBE level.

a b c (Å): 3.791 3.791 7.661
angles (deg): 90.00 90.00 90.00
Atoms (fractional coordinates):
Li1 0.000 0.000 0.241
Li2 0.000 0.000 0.759
La1 0.500 0.500 0.500
Tb1 0.500 0.500 0.000

Results
As for the crystal system: tetragonal. Its space group is P4/mmm (123). The energy above the most stable polymorph in this dataset comes out at 0 meV per atom. Its volume is 27.53 Å³/atom. The value obtained for the total moment is 0.000 μB/f.u. As for the energy of formation from the pure elements: 0.152 eV per atom.